# 1
## OsS2Cl (PBE-GGA)

Data for OsS2Cl after structural relaxation.

Results
For the total magnetization, the calculation gives 0.0 μB per formula unit. The energy relative to the elements, uncorrected is 0.11 eV per atom. As for the crystal system: tetragonal. Its energy above the most stable polymorph in this dataset is 16.3 kJ/mol of atoms. Its space-group type is No. 122.

The structure in POSCAR format:
```
OsS2Cl
1.0
6.3622 0.0000 0.0000
0.0000 6.3622 0.0000
0.0000 0.0000 9.2662
Os S Cl
4 8 4
Direct
0.0000 0.0000 0.0000
0.0000 0.5000 0.2500
0.5000 0.0000 0.7500
0.5000 0.5000 0.5000
0.1552 0.2500 0.1250
0.2500 0.6552 0.3750
0.2500 0.8448 0.8750
0.3448 0.2500 0.6250
0.6552 0.7500 0.6250
0.7500 0.1552 0.8750
0.7500 0.3448 0.3750
0.8448 0.7500 0.1250
0.0000 0.0000 0.5000
0.0000 0.5000 0.7500
0.5000 0.0000 0.2500
0.5000 0.5000 0.0000
```



# 2
## CdGa2Pb (PBE-GGA)

Data for CdGa2Pb after structural relaxation.

Results
For the total magnetization, the calculation gives 0.0 μB per formula unit. For the calculated formation energy, the calculation gives 0.15 eV per atom. As for the crystal system: tetragonal. Its energy above the most stable polymorph in this dataset is 7.4 kJ/mol of atoms. Its space-group type is No. 122.

The structure in POSCAR format:
```
CdGa2Pb
1.0
8.0493 0.0000 0.0000
0.0000 8.0493 0.0000
0.0000 0.0000 6.1298
Cd Ga Pb
4 8 4
Direct
0.0000 0.0000 0.0000
0.0000 0.5000 0.2500
0.5000 0.0000 0.7500
0.5000 0.5000 0.5000
0.2334 0.7500 0.1250
0.2500 0.2334 0.8750
0.2500 0.2666 0.3750
0.2666 0.7500 0.6250
0.7334 0.2500 0.6250
0.7500 0.7334 0.3750
0.7500 0.7666 0.8750
0.7666 0.2500 0.1250
0.0000 0.0000 0.5000
0.0000 0.5000 0.7500
0.5000 0.0000 0.2500
0.5000 0.5000 0.0000
```



# 3
## Ac2InIrPt (PBE-GGA)

Data for Ac2InIrPt after structural relaxation.

Results
For the total magnetization, the calculation gives 0.0 μB per formula unit. For the calculated formation energy, the calculation gives -0.71 eV per atom. As for the crystal system: tetragonal. Its space-group type is No. 129.

The structure in POSCAR format:
```
Ac2InIrPt
1.0
4.3698 0.0000 0.0000
0.0000 4.3698 0.0000
0.0000 0.0000 14.6046
Ac In Ir Pt
4 2 2 2
Direct
0.2500 0.2500 0.1042
0.2500 0.2500 0.6989
0.7500 0.7500 0.3011
0.7500 0.7500 0.8958
0.2500 0.7500 0.5000
0.7500 0.2500 0.5000
0.2500 0.2500 0.8932
0.7500 0.7500 0.1068
0.2500 0.2500 0.3719
0.7500 0.7500 0.6281
```



# 4
## KHg12 (PBE-GGA)

Data for KHg12 after structural relaxation.

Results
For the total magnetization, the calculation gives 0.0 μB per formula unit. For the calculated formation energy, the calculation gives 0.04 eV per atom. As for the crystal system: cubic. Its energy above the most stable polymorph in this dataset is 0.0 kJ/mol of atoms. Its space-group type is No. 225.

The structure in POSCAR format:
```
KHg12
1.0
0.0000 6.4627 6.4627
6.4627 0.0000 6.4627
6.4627 6.4627 0.0000
K Hg
1 12
Direct
0.0000 0.0000 0.0000
0.1611 0.5000 0.5000
0.1611 0.5000 0.8389
0.1611 0.8389 0.5000
0.5000 0.1611 0.5000
0.5000 0.1611 0.8389
0.5000 0.5000 0.1611
0.5000 0.5000 0.8389
0.5000 0.8389 0.1611
0.5000 0.8389 0.5000
0.8389 0.1611 0.5000
0.8389 0.5000 0.1611
0.8389 0.5000 0.5000
```



# 5
## Ba2GaTe5Au (PBE-GGA)

Data for Ba2GaTe5Au after structural relaxation.

Results
For the total magnetization, the calculation gives 0.0 μB per formula unit. The energy relative to the elements, uncorrected is -0.84 eV per atom. As for the crystal system: orthorhombic. Its space-group type is No. 36.

The structure in POSCAR format:
```
Ba2GaTe5Au
1.0
2.2406 -11.2060 0.0000
2.2406 11.2060 0.0000
0.0000 0.0000 13.1006
Ba Ga Te Au
4 2 10 2
Direct
0.0534 0.9466 0.5000
0.1678 0.8322 0.8468
0.8322 0.1678 0.3468
0.9466 0.0534 0.0000
0.4148 0.5852 0.6515
0.5852 0.4148 0.1515
0.0333 0.9667 0.2306
0.2958 0.7042 0.6781
0.3202 0.6798 0.9447
0.3714 0.6286 0.1579
0.4343 0.5657 0.4516
0.5657 0.4343 0.9516
0.6286 0.3714 0.6579
0.6798 0.3202 0.4447
0.7042 0.2958 0.1781
0.9667 0.0333 0.7306
0.1931 0.8069 0.3083
0.8069 0.1931 0.8083
```



# 6
## GeSbPd3 (PBE-GGA)

Data for GeSbPd3 after structural relaxation.

Results
For the total magnetization, the calculation gives 0.0 μB per formula unit. The energy relative to the elements, uncorrected is 0.41 eV per atom. As for the crystal system: cubic. Its energy above the most stable polymorph in this dataset is 77.7 kJ/mol of atoms. Its space-group type is No. 221.

The structure in POSCAR format:
```
GeSbPd3
1.0
4.9230 0.0000 0.0000
0.0000 4.9230 0.0000
0.0000 0.0000 4.9230
Ge Sb Pd
1 1 3
Direct
0.0000 0.0000 0.0000
0.5000 0.5000 0.5000
0.0000 0.5000 0.5000
0.5000 0.0000 0.5000
0.5000 0.5000 0.0000
```



# 7
## LaPCl2F (PBE-GGA)

Data for LaPCl2F after structural relaxation.

Results
For the total magnetization, the calculation gives 1.8 μB per formula unit. The energy relative to the elements, uncorrected is -0.92 eV per atom. As for the crystal system: tetragonal. Its energy above the most stable polymorph in this dataset is 13.1 kJ/mol of atoms. Its space-group type is No. 123.

The structure in POSCAR format:
```
LaPCl2F
1.0
5.4550 0.0000 0.0000
0.0000 5.4550 0.0000
0.0000 0.0000 6.1594
La P Cl F
1 1 2 1
Direct
0.0000 0.0000 0.0000
0.0000 0.0000 0.5000
0.0000 0.5000 0.0000
0.5000 0.0000 0.0000
0.5000 0.5000 0.5000
```



# 8
## KIn2HgI6 (PBE-GGA)

Data for KIn2HgI6 after structural relaxation.

Results
For the total magnetization, the calculation gives 0.0 μB per formula unit. The energy relative to the elements, uncorrected is -0.56 eV per atom. As for the crystal system: triclinic. Its space-group type is No. 1.

The structure in POSCAR format:
```
KIn2HgI6
1.0
8.3057 0.0000 0.0000
-4.1519 7.1967 0.0000
-0.0036 -4.7944 7.8361
K In Hg I
1 2 1 6
Direct
0.0000 0.0000 0.0000
0.3330 0.6662 0.9999
0.8046 0.6090 0.4143
0.5719 0.1445 0.7173
0.0744 0.5107 0.2038
0.2411 0.1535 0.7054
0.4370 0.1289 0.2029
0.5518 0.7933 0.7054
0.6926 0.7654 0.2026
0.9117 0.4637 0.7060
```